1.
Entry from the Alexandria database: a relaxed structure of NaAlRh2 (PBE).

The value obtained for the formation energy is -0.327 eV per atom.

```
NaAlRh2
1.0
2.9923 0.0000 0.0000
0.0000 2.9923 0.0000
0.0000 0.0000 7.0866
Na Rh Al
1 2 1
Direct
0.5000 0.5000 0.5000
0.0000 0.0000 0.7983
0.0000 0.0000 0.2017
0.5000 0.5000 0.0000
```

---

2.
Entry from the Alexandria database: a relaxed structure of MnAsIr2 (PBE).

The value obtained for the formation energy is -0.010 eV per atom.

```
MnAsIr2
1.0
4.5607 -0.1924 0.0000
1.1496 4.4176 0.0000
-2.8552 -2.1126 2.8674
Ir Mn As
2 1 1
Direct
0.5000 0.5000 0.0000
0.0000 0.0000 0.0000
0.2500 0.7500 0.5000
0.7500 0.2500 0.5000
```

---

3.
Entry from the Alexandria database: a relaxed structure of LaTh2Co (PBE).

The value obtained for the formation energy is -0.095 eV per atom.

```
LaTh2Co
1.0
3.8699 0.0000 0.0000
1.9350 3.3514 0.0000
1.9350 1.1171 9.1259
La Th Co
1 2 1
Direct
0.4995 0.4995 0.5015
0.0580 0.0580 0.8261
0.2767 0.2767 0.1700
0.6659 0.6659 0.0024
```

---

4.
Entry from the Alexandria database: a relaxed structure of KSrV (PBE).

The value obtained for the formation energy is 1.030 eV per atom.

```
KSrV
1.0
10.2578 0.0000 0.0000
0.0000 7.9073 0.0000
0.0000 0.0000 5.9642
V Sr K
4 4 4
Direct
0.6697 0.7500 0.0001
0.3303 0.2500 0.9999
0.1697 0.7500 0.4999
0.8303 0.2500 0.5001
0.5000 0.0000 0.5000
0.0000 0.5000 0.0000
0.0000 0.0000 0.0000
0.5000 0.5000 0.5000
0.1653 0.2500 0.5000
0.6653 0.2500 0.0000
0.3347 0.7500 0.0000
0.8347 0.7500 0.5000
```